# KLaSmSbO6

A relaxed KLaSmSbO6 crystal (PBE, the Alexandria database).

a b c (Å): 5.9953 5.9953 5.9953
angles (deg): 60.00 60.00 60.00
Fractional coordinates of all 10 atoms:
K1 0.0000 0.0000 0.0000
La1 0.5000 0.5000 0.5000
Sm1 0.2500 0.2500 0.2500
Sb1 0.7500 0.7500 0.7500
O1 0.5155 0.5155 0.9845
O2 0.5155 0.9845 0.5155
O3 0.5155 0.9845 0.9845
O4 0.9845 0.5155 0.5155
O5 0.9845 0.5155 0.9845
O6 0.9845 0.9845 0.5155

## Properties
E_form (uncorrected)   -2.40 eV/atom
Density of states at the Fermi level   0.0 states/eV/cell
Symmetry   No. 216
Total magnetization   0.0 μB/f.u.
ρ   5.95 g cm⁻³

# RbFe2Au2

A relaxed RbFe2Au2 crystal (PBE, the Alexandria database).

a b c (Å): 5.8672 5.8672 5.8672
angles (deg): 131.47 131.47 71.07
Fractional coordinates of all 5 atoms:
Rb1 0.0000 0.0000 0.0000
Fe1 0.3767 0.3767 0.0000
Fe2 0.6233 0.6233 0.0000
Au1 0.2500 0.7500 0.5000
Au2 0.7500 0.2500 0.5000

## Properties
Density of states at the Fermi level   5.3 states/eV/cell
Symmetry   No. 139
Total magnetization   6.5 μB/f.u.
Calculated formation energy   497 meV per atom
Excess energy over the best structure of this formula in the dataset   147.7 meV per atom
ρ   8.84 g cm⁻³

# LiNd2TcH6

A relaxed LiNd2TcH6 crystal (PBE, the Alexandria database).

a b c (Å): 5.0039 5.0039 5.1663
angles (deg): 90.00 90.00 120.00
Fractional coordinates of all 10 atoms:
Li1 0.0000 0.0000 0.0000
Nd1 0.3333 0.6667 0.7349
Nd2 0.6667 0.3333 0.2651
Tc1 0.0000 0.0000 0.5000
H1 0.1637 0.3274 0.2778
H2 0.1637 0.8363 0.2778
H3 0.3274 0.1637 0.7222
H4 0.6726 0.8363 0.2778
H5 0.8363 0.1637 0.7222
H6 0.8363 0.6726 0.7222

## Properties
Density of states at the Fermi level   3.9 states/eV/cell
Symmetry   No. 164
Raw total energy   -4.574 eV/atom
Total magnetization   0.0 μB/f.u.
ρ   5.92 g cm⁻³

# YOsRh3

A relaxed YOsRh3 crystal (PBE, the Alexandria database).

a b c (Å): 4.7896 4.7896 4.7896
angles (deg): 90.00 90.00 90.00
Fractional coordinates of all 5 atoms:
Y1 0.0000 0.0000 0.0000
Os1 0.5000 0.5000 0.5000
Rh1 0.0000 0.0000 0.5000
Rh2 0.0000 0.5000 0.0000
Rh3 0.5000 0.0000 0.0000

## Properties
Density of states at the Fermi level   6.4 states/eV/cell
Symmetry   No. 221
Total magnetization   4.3 μB/f.u.
Calculated formation energy   1911 meV per atom
Excess energy over the best structure of this formula in the dataset   1401.7 meV per atom
ρ   8.88 g cm⁻³

# K5PaO5

A relaxed K5PaO5 crystal (PBE, the Alexandria database).

a b c (Å): 6.7405 6.7405 7.4163
angles (deg): 107.58 107.58 43.98
Fractional coordinates of all 11 atoms:
K1 0.0000 0.0000 0.0000
K2 0.3065 0.3065 0.1843
K3 0.3228 0.3228 0.6498
K4 0.6772 0.6772 0.3502
K5 0.6935 0.6935 0.8157
Pa1 0.0000 0.0000 0.5000
O1 0.1251 0.1251 0.3594
O2 0.1319 0.1319 0.7759
O3 0.5000 0.5000 0.5000
O4 0.8681 0.8681 0.2241
O5 0.8749 0.8749 0.6406

## Properties
E_form (uncorrected)   -2.10 eV/atom
Density of states at the Fermi level   0.0 states/eV/cell
Symmetry   No. 12
Total magnetization   0.1 μB/f.u.
ρ   3.80 g cm⁻³

# K2Au2I5

A relaxed K2Au2I5 crystal (PBE, the Alexandria database).

a b c (Å): 10.0312 10.0312 7.5459
angles (deg): 110.13 110.13 33.35
Fractional coordinates of all 9 atoms:
K1 0.1085 0.1085 0.3070
K2 0.8915 0.8915 0.6930
Au1 0.4038 0.4038 0.2054
Au2 0.5962 0.5962 0.7946
I1 0.0936 0.0936 0.8033
I2 0.3138 0.3138 0.4120
I3 0.5000 0.5000 0.0000
I4 0.6862 0.6862 0.5880
I5 0.9064 0.9064 0.1967

## Properties
E_form (uncorrected)   -0.65 eV/atom
Density of states at the Fermi level   2.0 states/eV/cell
Symmetry   No. 12
Total magnetization   0.0 μB/f.u.
Excess energy over the best structure of this formula in the dataset   0.0 meV per atom
ρ   4.72 g cm⁻³